1.
A plane-wave DFT calculation with GGA-PBE was carried out for a geometry-optimized AlHI4 structure.

Geometry as CIF:
```
data_AlHI4
_chemical_formula_sum 'Al4 H4 I16'
_cell_length_a 6.260
_cell_length_b 27.512
_cell_length_c 7.220
_cell_angle_alpha 90.00
_cell_angle_beta 101.05
_cell_angle_gamma 90.00
_symmetry_space_group_name_H-M 'C 1 2/c 1'
_symmetry_Int_Tables_number 15
_symmetry_space_group_name_Hall '-C 2yc'
loop_
_atom_site_label
_atom_site_type_symbol
_atom_site_fract_x
_atom_site_fract_y
_atom_site_fract_z
_atom_site_occupancy
Al1 Al 0.000 0.109 0.250 1
H1 H 0.000 0.332 0.750 1
I1 I 0.227 0.170 0.073 1
I2 I 0.246 0.436 0.500 1
```

Values from the calculation:
electronic total energy	-2.6345	eV/atom
Fermi-level density of states	0.000	states/eV per atom



2.
A plane-wave DFT calculation with GGA-PBE was carried out for a geometry-optimized AlH3I6 structure.

Geometry as CIF:
```
data_AlH3I6
_chemical_formula_sum 'Al2 H6 I12'
_cell_length_a 7.631
_cell_length_b 8.216
_cell_length_c 14.122
_cell_angle_alpha 102.15
_cell_angle_beta 101.40
_cell_angle_gamma 94.41
_symmetry_space_group_name_H-M 'P 1'
_symmetry_Int_Tables_number 1
_symmetry_space_group_name_Hall 'P 1'
loop_
_atom_site_label
_atom_site_type_symbol
_atom_site_fract_x
_atom_site_fract_y
_atom_site_fract_z
_atom_site_occupancy
Al1 Al 0.000 0.000 0.000 1
Al2 Al 0.447 0.714 0.485 1
H1 H 0.548 0.492 0.229 1
H2 H 0.595 0.750 0.937 1
H3 H 0.601 0.475 0.009 1
H4 H 0.802 0.870 0.422 1
H5 H 0.817 0.295 0.739 1
H6 H 0.916 0.992 0.263 1
I1 I 0.054 0.806 0.849 1
I2 I 0.077 0.309 0.011 1
I3 I 0.129 0.911 0.160 1
I4 I 0.307 0.506 0.320 1
I5 I 0.376 0.009 0.487 1
I6 I 0.390 0.602 0.630 1
I7 I 0.536 0.484 0.889 1
I8 I 0.635 0.973 0.982 1
I9 I 0.727 0.469 0.176 1
I10 I 0.761 0.048 0.330 1
I11 I 0.810 0.730 0.503 1
I12 I 0.951 0.303 0.662 1
```

Values from the calculation:
electronic total energy	-2.5563	eV/atom
Fermi-level density of states	0.000	states/eV per atom



3.
A plane-wave DFT calculation with GGA-PBE was carried out for a geometry-optimized AlH2I2 structure.

Geometry as CIF:
```
data_AlH2I2
_chemical_formula_sum 'Al2 H4 I4'
_cell_length_a 8.276
_cell_length_b 8.276
_cell_length_c 4.060
_cell_angle_alpha 90.00
_cell_angle_beta 90.00
_cell_angle_gamma 90.00
_symmetry_space_group_name_H-M 'P 4/m b m'
_symmetry_Int_Tables_number 127
_symmetry_space_group_name_Hall '-P 4 2ab'
loop_
_atom_site_label
_atom_site_type_symbol
_atom_site_fract_x
_atom_site_fract_y
_atom_site_fract_z
_atom_site_occupancy
Al1 Al 0.000 0.000 0.000 1
H1 H 0.243 0.257 0.000 1
I1 I 0.243 0.257 0.500 1
```

Values from the calculation:
electronic total energy	-2.2947	eV/atom
Fermi-level density of states	0.110	states/eV per atom



4.
A plane-wave DFT calculation with GGA-PBE was carried out for a geometry-optimized AlH2I3 structure.

Geometry as CIF:
```
data_AlH2I3
_chemical_formula_sum 'Al4 H8 I12'
_cell_length_a 11.755
_cell_length_b 10.415
_cell_length_c 7.520
_cell_angle_alpha 90.00
_cell_angle_beta 100.19
_cell_angle_gamma 90.00
_symmetry_space_group_name_H-M 'C 1 2/c 1'
_symmetry_Int_Tables_number 15
_symmetry_space_group_name_Hall '-C 2yc'
loop_
_atom_site_label
_atom_site_type_symbol
_atom_site_fract_x
_atom_site_fract_y
_atom_site_fract_z
_atom_site_occupancy
Al1 Al 0.000 0.074 0.250 1
H1 H 0.154 0.331 0.686 1
I1 I 0.000 0.315 0.250 1
I2 I 0.152 0.054 0.975 1
```

Values from the calculation:
electronic total energy	-2.1850	eV/atom
Fermi-level density of states	0.000	states/eV per atom



5.
A plane-wave DFT calculation with GGA-PBE was carried out for a geometry-optimized AlH2I2 structure.

Geometry as CIF:
```
data_AlH2I2
_chemical_formula_sum 'Al2 H4 I4'
_cell_length_a 6.546
_cell_length_b 6.546
_cell_length_c 6.390
_cell_angle_alpha 90.00
_cell_angle_beta 90.00
_cell_angle_gamma 90.00
_symmetry_space_group_name_H-M 'I 4/m m m'
_symmetry_Int_Tables_number 139
_symmetry_space_group_name_Hall '-I 4 2'
loop_
_atom_site_label
_atom_site_type_symbol
_atom_site_fract_x
_atom_site_fract_y
_atom_site_fract_z
_atom_site_occupancy
Al1 Al 0.000 0.000 0.000 1
H1 H 0.000 0.000 0.243 1
I1 I 0.000 0.500 0.250 1
```

Values from the calculation:
electronic total energy	-2.4817	eV/atom
Fermi-level density of states	0.118	states/eV per atom



6.
A plane-wave DFT calculation with GGA-PBE was carried out for a geometry-optimized AlHIr2I structure.

Geometry as CIF:
```
data_AlHIr2I
_chemical_formula_sum 'Al1 H1 Ir2 I1'
_cell_length_a 4.887
_cell_length_b 4.887
_cell_length_c 3.280
_cell_angle_alpha 90.00
_cell_angle_beta 90.00
_cell_angle_gamma 90.00
_symmetry_space_group_name_H-M 'P 4/m m m'
_symmetry_Int_Tables_number 123
_symmetry_space_group_name_Hall '-P 4 2'
loop_
_atom_site_label
_atom_site_type_symbol
_atom_site_fract_x
_atom_site_fract_y
_atom_site_fract_z
_atom_site_occupancy
Al1 Al 0.000 0.000 0.000 1
H1 H 0.000 0.000 0.500 1
Ir1 Ir 0.000 0.500 0.000 1
I1 I 0.500 0.500 0.500 1
```

Values from the calculation:
electronic total energy	-4.4973	eV/atom
Fermi-level density of states	0.558	states/eV per atom



7.
A plane-wave DFT calculation with GGA-PBE was carried out for a geometry-optimized AlMo2HI structure.

Geometry as CIF:
```
data_AlMo2HI
_chemical_formula_sum 'Al1 Mo2 H1 I1'
_cell_length_a 5.086
_cell_length_b 5.086
_cell_length_c 3.367
_cell_angle_alpha 90.00
_cell_angle_beta 90.00
_cell_angle_gamma 90.00
_symmetry_space_group_name_H-M 'P 4/m m m'
_symmetry_Int_Tables_number 123
_symmetry_space_group_name_Hall '-P 4 2'
loop_
_atom_site_label
_atom_site_type_symbol
_atom_site_fract_x
_atom_site_fract_y
_atom_site_fract_z
_atom_site_occupancy
Al1 Al 0.000 0.000 0.000 1
Mo1 Mo 0.000 0.500 0.500 1
H1 H 0.500 0.500 0.000 1
I1 I 0.500 0.500 0.500 1
```

Values from the calculation:
electronic total energy	-4.6522	eV/atom
Fermi-level density of states	1.087	states/eV per atom



8.
A plane-wave DFT calculation with GGA-PBE was carried out for a geometry-optimized NbAlH2I structure.

Geometry as CIF:
```
data_NbAlH2I
_chemical_formula_sum 'Nb1 Al1 H2 I1'
_cell_length_a 4.050
_cell_length_b 4.050
_cell_length_c 5.633
_cell_angle_alpha 90.00
_cell_angle_beta 90.00
_cell_angle_gamma 90.00
_symmetry_space_group_name_H-M 'P 4/m m m'
_symmetry_Int_Tables_number 123
_symmetry_space_group_name_Hall '-P 4 2'
loop_
_atom_site_label
_atom_site_type_symbol
_atom_site_fract_x
_atom_site_fract_y
_atom_site_fract_z
_atom_site_occupancy
Nb1 Nb 0.000 0.000 0.000 1
Al1 Al 0.500 0.500 0.500 1
H1 H 0.000 0.500 0.000 1
I1 I 0.000 0.000 0.500 1
```

Values from the calculation:
electronic total energy	-3.7803	eV/atom
Fermi-level density of states	0.587	states/eV per atom



- Among the records above, which one has the lowest electronic total energy?
  AlMo2HI



- What is the formula in the first record?
  AlHI4